--- i ---
A relaxed structure of Rb2ScPt. Source: Alexandria, functional GGA-PBE.

The calculation puts the total moment at 4.40 μB per cell.

Unit cell a=8.1191 b=8.1191 c=8.1191 alpha=90.00 beta=90.00 gamma=90.00
Last column: nearest neighbours and their distance in Å.
Space group Fm-3m (No. 225)
Symmetry-distinct sites (fractional):
1 Rb 0.2500 0.2500 0.2500 [8 per cell]  4 Pt 3.52, 4 Sc 3.52
2 Sc 0.0000 0.0000 0.0000 [4 per cell]  8 Rb 3.52
3 Pt 0.0000 0.0000 0.5000 [4 per cell]  8 Rb 3.52

--- ii ---
A relaxed structure of Rb2ScPt. Source: Alexandria, functional GGA-PBE.

The calculation puts the total moment at 0.00 μB per cell.

Unit cell a=12.8842 b=12.8842 c=4.9626 alpha=90.00 beta=90.00 gamma=90.00
Last column: nearest neighbours and their distance in Å.
Space group I-42d (No. 122)
Symmetry-distinct sites (fractional):
1 Rb 0.0929 0.2500 0.1250 [8 per cell]  2 Pt 3.49, 2 Sc 3.91
2 Sc 0.0000 0.0000 0.5000 [4 per cell]  2 Pt 2.48
3 Pt 0.0000 0.0000 0.0000 [4 per cell]  2 Sc 2.48

What should be chosen as the least stable of them? Choose i.

--- i ---
A relaxed structure of RbSc2Pt2. Source: Alexandria, functional GGA-PBE.

The calculation puts the total moment at 0.00 μB per cell.

Unit cell a=8.3703 b=8.3703 c=3.1888 alpha=90.00 beta=90.00 gamma=90.00
Last column: nearest neighbours and their distance in Å.
Space group P4/mbm (No. 127)
Symmetry-distinct sites (fractional):
1 Rb 0.0000 0.0000 0.0000 [2 per cell]  2 Rb 3.19, 4 Pt 3.23
2 Sc 0.1348 0.3652 0.5000 [4 per cell]  6 Pt 2.81-3.09
3 Pt 0.1414 0.6414 0.0000 [4 per cell]  6 Sc 2.81-3.09

--- ii ---
A relaxed structure of RbSc2Pt2. Source: Alexandria, functional GGA-PBE.

The calculation puts the total moment at 0.00 μB per cell.

Unit cell a=8.3912 b=8.3912 c=3.0680 alpha=90.00 beta=90.00 gamma=90.00
Last column: nearest neighbours and their distance in Å.
Space group P4/mbm (No. 127)
Symmetry-distinct sites (fractional):
1 Rb 0.0000 0.0000 0.0000 [2 per cell]  2 Rb 3.07, 4 Sc 3.26
2 Sc 0.1359 0.3641 0.0000 [4 per cell]  6 Pt 2.82-3.01, 2 Sc 3.07
3 Pt 0.1463 0.6463 0.5000 [4 per cell]  6 Sc 2.82-3.01, 2 Pt 3.07

What should be chosen as the least stable of them? Choose i.

--- i ---
A relaxed structure of RbSc3Pt. Source: Alexandria, functional GGA-PBE.

The calculation puts the total moment at 0.00 μB per cell.

Unit cell a=4.8510 b=4.8510 c=4.8510 alpha=90.00 beta=90.00 gamma=90.00
Last column: nearest neighbours and their distance in Å.
Space group Pm-3m (No. 221)
Symmetry-distinct sites (fractional):
1 Rb 0.0000 0.0000 0.0000 [1 per cell]  6 Sc 2.43
2 Sc 0.0000 0.0000 0.5000 [3 per cell]  2 Rb 2.43
3 Pt 0.5000 0.5000 0.5000 [1 per cell]  12 Sc 3.43

--- ii ---
A relaxed structure of RbSc3Pt. Source: Alexandria, functional GGA-PBE.

The calculation puts the total moment at 0.01 μB per cell.

Unit cell a=5.2971 b=5.2971 c=5.2971 alpha=90.00 beta=90.00 gamma=90.00
Last column: nearest neighbours and their distance in Å.
Space group Pm-3m (No. 221)
Symmetry-distinct sites (fractional):
1 Rb 0.0000 0.0000 0.0000 [1 per cell]  12 Sc 3.75
2 Sc 0.0000 0.5000 0.5000 [3 per cell]  2 Pt 2.65
3 Pt 0.5000 0.5000 0.5000 [1 per cell]  6 Sc 2.65

What should be chosen as the least stable of them? Choose i.

--- i ---
A relaxed structure of RbSnPt. Source: Alexandria, functional GGA-PBE.

The calculation puts the total moment at 0.00 μB per cell.

Unit cell a=4.7455 b=16.0289 c=6.9286 alpha=90.00 beta=133.10 gamma=90.00
Last column: nearest neighbours and their distance in Å.
Space group P2_1/c (No. 14)
Symmetry-distinct sites (fractional):
1 Rb 0.0371 0.1695 0.2881 [4 per cell]  3 Pt 3.33-3.64, 2 Sn 3.71-3.72
2 Sn 0.0743 0.0670 0.8251 [4 per cell]  4 Pt 2.70-2.76
3 Pt 0.4238 0.0017 0.6747 [4 per cell]  4 Sn 2.70-2.76, 2 Pt 2.96

--- ii ---
A relaxed structure of RbSnPt. Source: Alexandria, functional GGA-PBE.

The calculation puts the total moment at 0.00 μB per cell.

Unit cell a=3.3686 b=7.7170 c=14.4185 alpha=90.00 beta=90.00 gamma=90.00
Last column: nearest neighbours and their distance in Å.
Space group Immm (No. 71)
Symmetry-distinct sites (fractional):
1 Rb 0.0000 0.0000 0.1457 [4 per cell]  2 Rb 3.37, 4 Pt 3.59
2 Sn 0.0000 0.5000 0.1140 [4 per cell]  4 Pt 2.78
3 Pt 0.0000 0.1924 0.5000 [4 per cell]  4 Sn 2.78, 1 Pt 2.97

What should be chosen as the least stable of them? Choose ii.

--- i ---
A relaxed structure of RbSn3Pt. Source: Alexandria, functional GGA-PBE.

The calculation puts the total moment at 0.00 μB per cell.

Unit cell a=5.4242 b=5.4242 c=5.4242 alpha=90.00 beta=90.00 gamma=90.00
Last column: nearest neighbours and their distance in Å.
Space group Pm-3m (No. 221)
Symmetry-distinct sites (fractional):
1 Rb 0.0000 0.0000 0.0000 [1 per cell]  12 Sn 3.84
2 Sn 0.0000 0.5000 0.5000 [3 per cell]  2 Pt 2.71
3 Pt 0.5000 0.5000 0.5000 [1 per cell]  6 Sn 2.71

--- ii ---
A relaxed structure of RbSn3Pt. Source: Alexandria, functional GGA-PBE.

The calculation puts the total moment at 0.00 μB per cell.

Unit cell a=7.0531 b=7.0462 c=6.6791 alpha=90.00 beta=121.68 gamma=90.00
Last column: nearest neighbours and their distance in Å.
Space group Cm (No. 8)
Symmetry-distinct sites (fractional):
1 Rb 0.0000 0.0000 0.0000 [2 per cell]  12 Sn 3.67-3.82, 5 Pt 3.89-4.03
2 Sn 0.0044 0.2494 0.5087 [4 per cell]  2 Pt 2.74
3 Sn 0.0885 0.5000 0.1787 [2 per cell]  1 Pt 2.67
4 Pt 0.3548 0.0000 0.7088 [2 per cell]  5 Sn 2.67-2.74

What should be chosen as the least stable of them? Choose i.

--- i ---
A relaxed structure of RbSn3Pt. Source: Alexandria, functional GGA-PBE.

The calculation puts the total moment at 0.00 μB per cell.

Unit cell a=14.2652 b=10.7472 c=7.7055 alpha=90.00 beta=106.21 gamma=90.00
Last column: nearest neighbours and their distance in Å.
Space group C2/c (No. 15)
Symmetry-distinct sites (fractional):
1 Rb 0.0000 0.0115 0.2500 [4 per cell]  8 Sn 3.50-3.89, 3 Rb 3.70-3.86, 2 Pt 3.78
2 Rb 0.0000 0.3327 0.7500 [4 per cell]  8 Sn 3.54-3.78, 1 Rb 3.70, 2 Pt 3.80
3 Sn 0.1737 0.4944 0.5840 [8 per cell]  2 Pt 2.75-2.79
4 Sn 0.1804 0.1699 0.5774 [8 per cell]  2 Pt 2.82-2.99, 2 Sn 3.06-3.11
5 Sn 0.1950 0.1706 0.1153 [8 per cell]  1 Pt 2.81, 2 Sn 3.06-3.10
6 Pt 0.1020 0.3387 0.2931 [8 per cell]  5 Sn 2.75-2.99, 1 Pt 2.80

--- ii ---
A relaxed structure of RbSn3Pt. Source: Alexandria, functional GGA-PBE.

The calculation puts the total moment at 0.00 μB per cell.

Unit cell a=5.8240 b=5.8240 c=5.8240 alpha=90.00 beta=90.00 gamma=90.00
Last column: nearest neighbours and their distance in Å.
Space group Pm-3m (No. 221)
Symmetry-distinct sites (fractional):
1 Rb 0.0000 0.0000 0.0000 [1 per cell]  6 Sn 2.91
2 Sn 0.0000 0.0000 0.5000 [3 per cell]  2 Rb 2.91
3 Pt 0.5000 0.5000 0.5000 [1 per cell]  12 Sn 4.12

What should be chosen as the least stable of them? Choose ii.

--- i ---
A relaxed structure of RbSnPt3. Source: Alexandria, functional GGA-PBE.

The calculation puts the total moment at 0.00 μB per cell.

Unit cell a=5.1133 b=5.1133 c=5.1133 alpha=90.00 beta=90.00 gamma=90.00
Last column: nearest neighbours and their distance in Å.
Space group Pm-3m (No. 221)
Symmetry-distinct sites (fractional):
1 Rb 0.0000 0.0000 0.0000 [1 per cell]  6 Pt 2.56
2 Sn 0.5000 0.5000 0.5000 [1 per cell]  12 Pt 3.62
3 Pt 0.0000 0.0000 0.5000 [3 per cell]  2 Rb 2.56

--- ii ---
A relaxed structure of RbSnPt3. Source: Alexandria, functional GGA-PBE.

The calculation puts the total moment at 0.00 μB per cell.

Unit cell a=5.1167 b=5.1167 c=5.1167 alpha=90.00 beta=90.00 gamma=90.00
Last column: nearest neighbours and their distance in Å.
Space group Pm-3m (No. 221)
Symmetry-distinct sites (fractional):
1 Rb 0.0000 0.0000 0.0000 [1 per cell]  12 Pt 3.62
2 Sn 0.5000 0.5000 0.5000 [1 per cell]  6 Pt 2.56
3 Pt 0.0000 0.5000 0.5000 [3 per cell]  2 Sn 2.56

What should be chosen as the least stable of them? Choose i.

--- i ---
A relaxed structure of RbSr2Pt. Source: Alexandria, functional GGA-PBE.

The calculation puts the total moment at 0.00 μB per cell.

Unit cell a=8.1312 b=8.1312 c=8.1312 alpha=90.00 beta=90.00 gamma=90.00
Last column: nearest neighbours and their distance in Å.
Space group Fm-3m (No. 225)
Symmetry-distinct sites (fractional):
1 Rb 0.0000 0.0000 0.0000 [4 per cell]  8 Sr 3.52
2 Sr 0.2500 0.2500 0.2500 [8 per cell]  4 Rb 3.52, 4 Pt 3.52
3 Pt 0.0000 0.0000 0.5000 [4 per cell]  8 Sr 3.52

--- ii ---
A relaxed structure of RbSr2Pt. Source: Alexandria, functional GGA-PBE.

The calculation puts the total moment at 0.00 μB per cell.

Unit cell a=10.1513 b=10.1513 c=7.3276 alpha=90.00 beta=90.00 gamma=90.00
Last column: nearest neighbours and their distance in Å.
Space group I-42d (No. 122)
Symmetry-distinct sites (fractional):
1 Rb 0.0000 0.0000 0.0000 [4 per cell]  2 Pt 3.66, 4 Sr 3.95
2 Sr 0.1244 0.2500 0.6250 [8 per cell]  2 Pt 2.98
3 Pt 0.0000 0.0000 0.5000 [4 per cell]  4 Sr 2.98

--- iii ---
A relaxed structure of RbSr2Pt. Source: Alexandria, functional GGA-PBE.

The calculation puts the total moment at 0.00 μB per cell.

Unit cell a=4.4625 b=4.4625 c=35.5801 alpha=90.00 beta=90.00 gamma=120.00
Last column: nearest neighbours and their distance in Å.
Space group R-3m (No. 166, hexagonal axes)
Symmetry-distinct sites (fractional):
1 Rb 0.0000 0.0000 0.0000 [3 per cell]  2 Sr 4.36, 6 Rb 4.46
2 Sr 0.0000 0.0000 0.1224 [6 per cell]  3 Pt 3.02
3 Pt 0.0000 0.0000 0.5000 [3 per cell]  6 Sr 3.02

--- iv ---
A relaxed structure of RbSr2Pt. Source: Alexandria, functional GGA-PBE.

The calculation puts the total moment at 0.00 μB per cell.

Unit cell a=3.8856 b=3.8856 c=11.3170 alpha=90.00 beta=90.00 gamma=90.00
Last column: nearest neighbours and their distance in Å.
Space group P4/mmm (No. 123)
Symmetry-distinct sites (fractional):
1 Rb 0.0000 0.0000 0.0000 [1 per cell]  4 Rb 3.89
2 Sr 0.5000 0.5000 0.3488 [2 per cell]  4 Pt 3.24, 1 Sr 3.42
3 Pt 0.0000 0.0000 0.5000 [1 per cell]  8 Sr 3.24

What should be chosen as the least stable of them? Choose i.